Entry from Alexandria: an optimized crystal structure of TlGa4Se7 (PBE-GGA).

Calculated values
DFT total energy, eV/atom: -3.755
SG: No. 31
Energy relative to the elements, uncorrected, kcal/mol of atoms: -11.90

a b c (Å): 16.022 6.684 6.408
angles (deg): 90.00 90.00 90.00
Sites, in units of the cell vectors:
Tl  0.000  0.086  0.000
Tl  0.500  0.914  0.500
Ga  0.122  0.656  0.795
Ga  0.249  0.832  0.282
Ga  0.251  0.168  0.782
Ga  0.378  0.344  0.295
Ga  0.622  0.344  0.295
Ga  0.749  0.168  0.782
Ga  0.751  0.832  0.282
Ga  0.878  0.656  0.795
Se  0.000  0.813  0.635
Se  0.115  0.705  0.171
Se  0.119  0.310  0.678
Se  0.246  0.188  0.172
Se  0.254  0.812  0.672
Se  0.381  0.690  0.178
Se  0.385  0.295  0.671
Se  0.500  0.187  0.135
Se  0.615  0.295  0.671
Se  0.619  0.690  0.178
Se  0.746  0.812  0.672
Se  0.754  0.188  0.172
Se  0.881  0.310  0.678
Se  0.885  0.705  0.171